## CaSi2Hg2Au7 (PBE-GGA)

Data for a relaxed CaSi2Hg2Au7 crystal.

Unit cell a=6.469 b=7.131 c=11.683 alpha=90.00 beta=104.12 gamma=90.00
Space group C2/m (No. 12)
Symmetry-distinct sites (fractional):
Ca (0.000, 0.000, 0.000) (multiplicity 2)
Si (0.220, 0.500, 0.222) (multiplicity 4)
Hg (0.119, 0.000, 0.385) (multiplicity 4)
Au (0.000, 0.500, 0.000) (multiplicity 2)
Au (0.081, 0.500, 0.400) (multiplicity 4)
Au (0.121, 0.290, 0.817) (multiplicity 8)

Summary:
- ΔE_f (raw): -0.184 eV per atom
- M_tot: 0.0 μB/f.u.
- E_tot: -3.22 eV per atom